No. 1
The following is a PBE calculation of an optimized crystal structure of MnZn3Re, from Alexandria.

Unit cell a=4.787 b=4.787 c=4.787 alpha=90.00 beta=90.00 gamma=90.00
Site moments in Bohr magnetons follow the coordinates.
Fractional positions:
Re: 0.000 0.000 0.000  -0.07
Zn: 0.000 0.500 0.000  -0.03
Zn: 0.000 0.000 0.500  -0.02
Zn: 0.500 0.000 0.000  -0.01
Mn: 0.500 0.500 0.500  4.33

Properties
Size of the total moment: 0.89 μB per atom
Total DFT energy (no corrections): -3.96 eV per atom
Energy above the most stable polymorph in this dataset: 0 meV per atom

No. 2
The following is a PBE calculation of an optimized crystal structure of EuCoSn2, from Alexandria.

Unit cell a=4.352 b=4.352 c=6.338 alpha=69.92 beta=69.92 gamma=60.00
Site moments in Bohr magnetons follow the coordinates.
Fractional positions:
Eu: 0.500 0.500 0.500  -6.81
Co: 0.000 0.000 0.000  0.73
Sn: 0.283 0.283 0.150  0.01
Sn: 0.717 0.717 0.850  0.01

Properties
Size of the total moment: 1.58 μB per atom
Total DFT energy (no corrections): -6.67 eV per atom

No. 3
The following is a PBE calculation of an optimized crystal structure of LiPOs3, from Alexandria.

Unit cell a=4.104 b=4.104 c=4.104 alpha=90.00 beta=90.00 gamma=90.00
Site moments in Bohr magnetons follow the coordinates.
Fractional positions:
P: 0.500 0.500 0.500  0.01
Os: 0.000 0.500 0.000  0.44
Os: 0.000 0.000 0.500  0.46
Os: 0.500 0.000 0.000  0.39
Li: 0.000 0.000 0.000  0.00

Properties
Size of the total moment: 0.28 μB per atom
Total DFT energy (no corrections): -6.52 eV per atom
Energy above the most stable polymorph in this dataset: 836 meV per atom

No. 4
The following is a PBE calculation of an optimized crystal structure of KC2, from Alexandria.

Unit cell a=8.318 b=8.318 c=2.666 alpha=90.00 beta=90.00 gamma=120.00
Fractional positions:
K: 0.333 0.667 0.000
K: 0.667 0.333 0.000
K: 0.000 0.000 0.500
C: 0.317 0.000 0.000
C: 0.000 0.317 0.000
C: 0.683 0.683 0.000
C: 0.346 0.000 0.500
C: 0.000 0.346 0.500
C: 0.654 0.654 0.500

Properties
Size of the total moment: 0.00 μB per atom
Total DFT energy (no corrections): -5.97 eV per atom
Energy above the most stable polymorph in this dataset: 42 meV per atom

No. 5
The following is a PBE calculation of an optimized crystal structure of Pa2CuNi3Ge4, from Alexandria.

Unit cell a=4.142 b=4.142 c=9.482 alpha=90.00 beta=90.00 gamma=90.00
Fractional positions:
Pa: 0.500 0.000 0.252
Pa: 0.000 0.500 0.748
Cu: 0.500 0.500 0.500
Ni: 0.000 0.000 0.500
Ni: 0.500 0.000 0.877
Ni: 0.000 0.500 0.123
Ge: 0.500 0.500 0.000
Ge: 0.000 0.000 0.000
Ge: 0.500 0.000 0.633
Ge: 0.000 0.500 0.367

Properties
Size of the total moment: 0.00 μB per atom
Total DFT energy (no corrections): -6.44 eV per atom

No. 6
The following is a PBE calculation of an optimized crystal structure of Nb6AlIr, from Alexandria.

Unit cell a=7.334 b=7.333 c=5.189 alpha=45.01 beta=44.99 gamma=59.98
Fractional positions:
Nb: 0.001 0.500 0.747
Nb: 0.753 0.000 0.746
Nb: 0.500 0.247 0.253
Nb: 0.247 0.000 0.254
Nb: 0.999 0.500 0.253
Nb: 0.500 0.753 0.747
Al: 0.500 0.500 0.500
Ir: 0.000 0.000 0.000

Properties
Size of the total moment: 0.00 μB per atom
Total DFT energy (no corrections): -9.47 eV per atom